Version P
LaAs2CBr: relaxed, PBE.

abc: 4.396 4.396 5.379
angles: 90.00 90.00 90.00
Atoms (fractional coordinates):
1 As 0.000 0.500 0.000
2 As 0.500 0.000 0.000
3 La 0.500 0.500 0.500
4 C 0.000 0.000 0.000
5 Br 0.000 0.000 0.500

Summary:
- Space group: No. 123
- Fermi-level density of states: 1.31 states/eV/cell

Version Q
LaAs2CBr: relaxed, PBE.

abc: 5.878 5.878 5.762
angles: 90.00 90.00 90.00
Atoms (fractional coordinates):
1 La 0.000 0.000 0.000
2 As 0.000 0.500 0.000
3 As 0.500 0.000 0.000
4 C 0.500 0.500 0.500
5 Br 0.000 0.000 0.500

Summary:
- Space group: No. 123
- Fermi-level density of states: 8.06 states/eV/cell

Most stable to least stable: version P, version Q

Version P
LiAs2CBr: relaxed, PBE.

abc: 4.583 4.583 4.774
angles: 90.00 90.00 90.00
Atoms (fractional coordinates):
1 Li 0.000 0.000 0.000
2 C 0.500 0.500 0.500
3 As 0.500 0.000 0.000
4 As 0.000 0.500 0.000
5 Br 0.000 0.000 0.500

Summary:
- Space group: No. 123
- Fermi-level density of states: 4.73 states/eV/cell

Version Q
LiAs2CBr: relaxed, PBE.

abc: 4.059 4.059 8.733
angles: 90.00 90.00 90.00
Atoms (fractional coordinates):
1 Li 0.500 0.500 0.500
2 C 0.000 0.000 0.000
3 Br 0.000 0.000 0.500
4 As 0.000 0.500 0.000
5 As 0.500 0.000 0.000

Summary:
- Space group: No. 123
- Fermi-level density of states: 3.11 states/eV/cell

Most stable to least stable: version Q, version P

Version P
NaAsCBr2: relaxed, PBE.

abc: 5.354 5.354 4.052
angles: 90.00 90.00 90.00
Atoms (fractional coordinates):
1 Br 0.000 0.500 0.000
2 Br 0.500 0.000 0.000
3 As 0.000 0.000 0.500
4 Na 0.500 0.500 0.500
5 C 0.000 0.000 0.000

Summary:
- Space group: No. 123
- Fermi-level density of states: 3.42 states/eV/cell

Version Q
NaAsCBr2: relaxed, PBE.

abc: 5.412 5.412 5.769
angles: 90.00 90.00 90.00
Atoms (fractional coordinates):
1 Na 0.000 0.000 0.000
2 As 0.000 0.000 0.500
3 Br 0.500 0.000 0.000
4 Br 0.000 0.500 0.000
5 C 0.500 0.500 0.500

Summary:
- Space group: No. 123
- Fermi-level density of states: 6.82 states/eV/cell

Most stable to least stable: version P, version Q

Version P
NiAsCBr2: relaxed, PBE.

abc: 4.984 4.984 4.487
angles: 90.00 90.00 90.00
Atoms (fractional coordinates):
1 Br 0.500 0.000 0.000
2 Br 0.000 0.500 0.000
3 As 0.000 0.000 0.500
4 Ni 0.000 0.000 0.000
5 C 0.500 0.500 0.500

Summary:
- Space group: No. 123
- Fermi-level density of states: 3.23 states/eV/cell

Version Q
NiAsCBr2: relaxed, PBE.

abc: 4.703 4.703 4.252
angles: 90.00 90.00 90.00
Atoms (fractional coordinates):
1 C 0.000 0.000 0.000
2 Br 0.000 0.500 0.000
3 Br 0.500 0.000 0.000
4 As 0.000 0.000 0.500
5 Ni 0.500 0.500 0.500

Summary:
- Space group: No. 123
- Fermi-level density of states: 7.06 states/eV/cell

Most stable to least stable: version Q, version P

Version P
As2OsCBr: relaxed, PBE.

abc: 4.198 4.198 4.421
angles: 90.00 90.00 90.00
Atoms (fractional coordinates):
1 As 0.500 0.000 0.000
2 As 0.000 0.500 0.000
3 Os 0.500 0.500 0.500
4 C 0.000 0.000 0.000
5 Br 0.000 0.000 0.500

Summary:
- Space group: No. 123
- Fermi-level density of states: 2.19 states/eV/cell

Version Q
As2OsCBr: relaxed, PBE.

abc: 4.699 4.699 5.402
angles: 90.00 90.00 90.00
Atoms (fractional coordinates):
1 Os 0.000 0.000 0.000
2 Br 0.000 0.000 0.500
3 C 0.500 0.500 0.500
4 As 0.500 0.000 0.000
5 As 0.000 0.500 0.000

Summary:
- Space group: No. 123
- Fermi-level density of states: 4.25 states/eV/cell

Most stable to least stable: version P, version Q

Version P
As2PCBr: relaxed, PBE.

abc: 4.427 4.427 4.479
angles: 90.00 90.00 90.00
Atoms (fractional coordinates):
1 Br 0.000 0.000 0.500
2 As 0.000 0.500 0.000
3 As 0.500 0.000 0.000
4 C 0.000 0.000 0.000
5 P 0.500 0.500 0.500

Summary:
- Space group: No. 123
- Fermi-level density of states: 2.94 states/eV/cell

Version Q
As2PCBr: relaxed, PBE.

abc: 4.859 4.859 4.931
angles: 90.00 90.00 90.00
Atoms (fractional coordinates):
1 As 0.500 0.000 0.000
2 As 0.000 0.500 0.000
3 P 0.000 0.000 0.000
4 Br 0.000 0.000 0.500
5 C 0.500 0.500 0.500

Summary:
- Space group: No. 123
- Fermi-level density of states: 4.23 states/eV/cell

Most stable to least stable: version P, version Q

Version P
As2PdCBr: relaxed, PBE.

abc: 4.847 4.847 5.207
angles: 90.00 90.00 90.00
Atoms (fractional coordinates):
1 Pd 0.000 0.000 0.000
2 As 0.000 0.500 0.000
3 As 0.500 0.000 0.000
4 Br 0.000 0.000 0.500
5 C 0.500 0.500 0.500

Summary:
- Space group: No. 123
- Fermi-level density of states: 6.04 states/eV/cell

Version Q
As2PdCBr: relaxed, PBE.

abc: 4.302 4.302 4.804
angles: 90.00 90.00 90.00
Atoms (fractional coordinates):
1 C 0.000 0.000 0.000
2 Br 0.000 0.000 0.500
3 As 0.000 0.500 0.000
4 As 0.500 0.000 0.000
5 Pd 0.500 0.500 0.500

Summary:
- Space group: No. 123
- Fermi-level density of states: 2.38 states/eV/cell

Most stable to least stable: version Q, version P

Version P
As2PtCBr: relaxed, PBE.

abc: 4.343 4.343 4.478
angles: 90.00 90.00 90.00
Atoms (fractional coordinates):
1 Br 0.000 0.000 0.500
2 Pt 0.500 0.500 0.500
3 As 0.500 0.000 0.000
4 As 0.000 0.500 0.000
5 C 0.000 0.000 0.000

Summary:
- Space group: No. 123
- Fermi-level density of states: 3.06 states/eV/cell

Version Q
As2PtCBr: relaxed, PBE.

abc: 4.867 4.867 5.276
angles: 90.00 90.00 90.00
Atoms (fractional coordinates):
1 C 0.500 0.500 0.500
2 Pt 0.000 0.000 0.000
3 As 0.500 0.000 0.000
4 As 0.000 0.500 0.000
5 Br 0.000 0.000 0.500

Summary:
- Space group: No. 123
- Fermi-level density of states: 4.93 states/eV/cell

Most stable to least stable: version P, version Q

Version P
AsPtCBr2: relaxed, PBE.

abc: 5.312 5.312 4.719
angles: 90.00 90.00 90.00
Atoms (fractional coordinates):
1 As 0.000 0.000 0.500
2 Pt 0.000 0.000 0.000
3 Br 0.000 0.500 0.000
4 Br 0.500 0.000 0.000
5 C 0.500 0.500 0.500

Summary:
- Space group: No. 123
- Fermi-level density of states: 3.52 states/eV/cell

Version Q
AsPtCBr2: relaxed, PBE.

abc: 4.612 4.612 4.343
angles: 90.00 90.00 90.00
Atoms (fractional coordinates):
1 Br 0.500 0.000 0.000
2 Br 0.000 0.500 0.000
3 As 0.000 0.000 0.500
4 C 0.000 0.000 0.000
5 Pt 0.500 0.500 0.500

Summary:
- Space group: No. 123
- Fermi-level density of states: 4.55 states/eV/cell

Most stable to least stable: version Q, version P

Version P
ReAsCBr2: relaxed, PBE.

abc: 5.153 5.153 4.785
angles: 90.00 90.00 90.00
Atoms (fractional coordinates):
1 Re 0.000 0.000 0.000
2 Br 0.000 0.500 0.000
3 Br 0.500 0.000 0.000
4 C 0.500 0.500 0.500
5 As 0.000 0.000 0.500

Summary:
- Space group: No. 123
- Fermi-level density of states: 3.72 states/eV/cell

Version Q
ReAsCBr2: relaxed, PBE.

abc: 4.404 4.404 4.287
angles: 90.00 90.00 90.00
Atoms (fractional coordinates):
1 Re 0.500 0.500 0.500
2 Br 0.500 0.000 0.000
3 Br 0.000 0.500 0.000
4 As 0.000 0.000 0.500
5 C 0.000 0.000 0.000

Summary:
- Space group: No. 123
- Fermi-level density of states: 3.54 states/eV/cell

Most stable to least stable: version P, version Q

Version P
AsRuCBr2: relaxed, PBE.

abc: 5.168 5.168 4.645
angles: 90.00 90.00 90.00
Atoms (fractional coordinates):
1 C 0.500 0.500 0.500
2 As 0.000 0.000 0.500
3 Br 0.500 0.000 0.000
4 Br 0.000 0.500 0.000
5 Ru 0.000 0.000 0.000

Summary:
- Space group: No. 123
- Fermi-level density of states: 5.45 states/eV/cell

Version Q
AsRuCBr2: relaxed, PBE.

abc: 4.591 4.591 4.319
angles: 90.00 90.00 90.00
Atoms (fractional coordinates):
1 As 0.000 0.000 0.500
2 Ru 0.500 0.500 0.500
3 Br 0.000 0.500 0.000
4 Br 0.500 0.000 0.000
5 C 0.000 0.000 0.000

Summary:
- Space group: No. 123
- Fermi-level density of states: 4.39 states/eV/cell

Most stable to least stable: version P, version Q

Version P
AsCSBr2: relaxed, PBE.

abc: 5.052 5.052 5.082
angles: 90.00 90.00 90.00
Atoms (fractional coordinates):
1 As 0.000 0.000 0.500
2 C 0.500 0.500 0.500
3 S 0.000 0.000 0.000
4 Br 0.000 0.500 0.000
5 Br 0.500 0.000 0.000

Summary:
- Space group: No. 123
- Fermi-level density of states: 5.34 states/eV/cell

Version Q
AsCSBr2: relaxed, PBE.

abc: 4.590 4.590 4.547
angles: 90.00 90.00 90.00
Atoms (fractional coordinates):
1 S 0.500 0.500 0.500
2 As 0.000 0.000 0.500
3 Br 0.000 0.500 0.000
4 Br 0.500 0.000 0.000
5 C 0.000 0.000 0.000

Summary:
- Space group: No. 123
- Fermi-level density of states: 5.12 states/eV/cell

Most stable to least stable: version Q, version P

Version P
TeAs2CBr: relaxed, PBE.

abc: 5.517 5.517 5.502
angles: 90.00 90.00 90.00
Atoms (fractional coordinates):
1 Br 0.000 0.000 0.500
2 Te 0.000 0.000 0.000
3 As 0.000 0.500 0.000
4 As 0.500 0.000 0.000
5 C 0.500 0.500 0.500

Summary:
- Space group: No. 123
- Fermi-level density of states: 6.28 states/eV/cell

Version Q
TeAs2CBr: relaxed, PBE.

abc: 4.585 4.585 4.600
angles: 90.00 90.00 90.00
Atoms (fractional coordinates):
1 As 0.500 0.000 0.000
2 As 0.000 0.500 0.000
3 C 0.000 0.000 0.000
4 Br 0.000 0.000 0.500
5 Te 0.500 0.500 0.500

Summary:
- Space group: No. 123
- Fermi-level density of states: 3.71 states/eV/cell

Most stable to least stable: version Q, version P

Version P
TiAs2CBr: relaxed, PBE.

abc: 4.946 4.946 4.948
angles: 90.00 90.00 90.00
Atoms (fractional coordinates):
1 As 0.000 0.500 0.000
2 As 0.500 0.000 0.000
3 Ti 0.000 0.000 0.000
4 Br 0.000 0.000 0.500
5 C 0.500 0.500 0.500

Summary:
- Space group: No. 123
- Fermi-level density of states: 5.26 states/eV/cell

Version Q
TiAs2CBr: relaxed, PBE.

abc: 4.304 4.304 4.674
angles: 90.00 90.00 90.00
Atoms (fractional coordinates):
1 Ti 0.500 0.500 0.500
2 As 0.500 0.000 0.000
3 As 0.000 0.500 0.000
4 Br 0.000 0.000 0.500
5 C 0.000 0.000 0.000

Summary:
- Space group: No. 123
- Fermi-level density of states: 3.97 states/eV/cell

Most stable to least stable: version Q, version P